The following is a DFT calculation (PBE with a Hubbard U) of an optimized crystal structure of BiW3O.

a b c (Å): 5.7711 5.7711 5.7711
angles (deg): 90.00 90.00 90.00
Closest atoms and distances in Å follow each position.
Element x y z (fractional)
O: 0.5000 0.5000 0.5000  12 W 4.08
Bi: 0.0000 0.0000 0.0000  6 W 2.89
W: 0.0000 0.5000 0.0000  2 Bi 2.89
W: 0.0000 0.0000 0.5000  2 Bi 2.89
W: 0.5000 0.0000 0.0000  2 Bi 2.89

Symmetry: No. 221
Calculated total energy (eV per atom): -3.38